[1]
Density functional theory data (SCAN) for K2RbCd2 at its PBEsol-relaxed geometry.

Cell: 8.4880 8.4880 8.4880 Å, 142.21 142.21 54.52°
Fractional positions:
K: 0.2500 0.7500 0.5000
K: 0.7500 0.2500 0.5000
Rb: 0.0000 0.0000 0.0000
Cd: 0.4073 0.4073 0.0000
Cd: 0.5927 0.5927 0.0000

Output
energy relative to the lowest polymorph listed for this composition = 3.3 kJ/mol of atoms
formation energy from the elements = 1 meV per atom

=====

[2]
Density functional theory data (SCAN) for K3RbCd at its PBEsol-relaxed geometry.

Cell: 6.8522 6.8522 6.8522 Å, 90.00 90.00 90.00°
Fractional positions:
K: 0.0000 0.0000 0.5000
K: 0.0000 0.5000 0.0000
K: 0.5000 0.0000 0.0000
Rb: 0.5000 0.5000 0.5000
Cd: 0.0000 0.0000 0.0000

Output
formation energy from the elements = 21 meV per atom

=====

[3]
Density functional theory data (SCAN) for KRb3Cd at its PBEsol-relaxed geometry.

Cell: 7.1105 7.1105 7.1105 Å, 90.00 90.00 90.00°
Fractional positions:
K: 0.0000 0.0000 0.0000
Rb: 0.0000 0.5000 0.5000
Rb: 0.5000 0.0000 0.5000
Rb: 0.5000 0.5000 0.0000
Cd: 0.5000 0.5000 0.5000

Output
formation energy from the elements = 44 meV per atom

=====

[4]
Density functional theory data (SCAN) for K2RbCd2 at its PBEsol-relaxed geometry.

Cell: 9.4092 9.4092 4.9932 Å, 90.00 90.00 90.00°
Fractional positions:
K: 0.1727 0.3273 0.0000
K: 0.3273 0.8273 0.0000
K: 0.6727 0.1727 0.0000
K: 0.8273 0.6727 0.0000
Rb: 0.0000 0.0000 0.5000
Rb: 0.5000 0.5000 0.5000
Cd: 0.1081 0.6081 0.5000
Cd: 0.3919 0.1081 0.5000
Cd: 0.6081 0.8919 0.5000
Cd: 0.8919 0.3919 0.5000

Output
energy relative to the lowest polymorph listed for this composition = 0.0 kJ/mol of atoms
formation energy from the elements = -33 meV per atom

=====

[5]
Density functional theory data (SCAN) for K2RbCd at its PBEsol-relaxed geometry.

Cell: 6.5196 6.5196 6.5196 Å, 60.00 60.00 60.00°
Fractional positions:
K: 0.2500 0.2500 0.2500
K: 0.7500 0.7500 0.7500
Rb: 0.0000 0.0000 0.0000
Cd: 0.5000 0.5000 0.5000

Output
formation energy from the elements = 43 meV per atom

=====

[6]
Density functional theory data (SCAN) for KRb2Cd at its PBEsol-relaxed geometry.

Cell: 6.7054 6.7054 6.7054 Å, 60.00 60.00 60.00°
Fractional positions:
K: 0.0000 0.0000 0.0000
Rb: 0.2500 0.2500 0.2500
Rb: 0.7500 0.7500 0.7500
Cd: 0.5000 0.5000 0.5000

Output
formation energy from the elements = 58 meV per atom

=====

[7]
Density functional theory data (SCAN) for K2RbCdW at its PBEsol-relaxed geometry.

Cell: 6.4807 6.4807 5.4331 Å, 90.00 90.00 90.00°
Fractional positions:
K: 0.0000 0.5000 0.0000
K: 0.5000 0.0000 0.0000
Rb: 0.0000 0.0000 0.5000
Cd: 0.5000 0.5000 0.0000
W: 0.5000 0.5000 0.5000

Output
formation energy from the elements = 1125 meV per atom

=====

[8]
Density functional theory data (SCAN) for KCdRe at its PBEsol-relaxed geometry.

Cell: 5.2428 5.2428 2.6254 Å, 90.00 90.00 120.00°
Fractional positions:
K: 0.0000 0.0000 0.0000
Cd: 0.6667 0.3333 0.4050
Re: 0.3333 0.6667 0.5992

Output
formation energy from the elements = 1270 meV per atom

=====

[9]
Density functional theory data (SCAN) for KCdRe3 at its PBEsol-relaxed geometry.

Cell: 4.5029 4.5029 4.5029 Å, 90.00 90.00 90.00°
Fractional positions:
K: 0.0000 0.0000 0.0000
Cd: 0.5000 0.5000 0.5000
Re: 0.0000 0.0000 0.5000
Re: 0.0000 0.5000 0.0000
Re: 0.5000 0.0000 0.0000

Output
formation energy from the elements = 3954 meV per atom

=====

[10]
Density functional theory data (SCAN) for KCdRe2 at its PBEsol-relaxed geometry.

Cell: 5.9379 5.9379 2.6568 Å, 98.60 98.60 125.15°
Fractional positions:
K: 0.0000 0.0000 0.0000
Cd: 0.5000 0.5000 0.0000
Re: 0.0000 0.5000 0.5000
Re: 0.5000 0.0000 0.5000

Output
formation energy from the elements = 1265 meV per atom

=====

[11]
Density functional theory data (SCAN) for KCd2Re at its PBEsol-relaxed geometry.

Cell: 5.5594 5.5594 5.5594 Å, 135.82 135.82 64.26°
Fractional positions:
K: 0.0000 0.0000 0.0000
Cd: 0.2500 0.7500 0.5000
Cd: 0.5000 0.5000 0.0000
Re: 0.7500 0.2500 0.5000

Output
formation energy from the elements = 1264 meV per atom

=====

[12]
Density functional theory data (SCAN) for K2CdReSb at its PBEsol-relaxed geometry.

Cell: 6.5795 6.5795 5.4045 Å, 90.00 90.00 90.00°
Fractional positions:
K: 0.0000 0.5000 0.0000
K: 0.5000 0.0000 0.0000
Cd: 0.0000 0.0000 0.5000
Re: 0.5000 0.5000 0.5000
Sb: 0.0000 0.0000 0.0000

Output
raw formation energy = 624 kJ/mol of formula units

=====

[13]
Density functional theory data (SCAN) for KCdRh2 at its PBEsol-relaxed geometry.

Cell: 4.0840 4.0840 4.2796 Å, 90.00 90.00 90.00°
Fractional positions:
K: 0.0000 0.0000 0.0000
Cd: 0.5000 0.5000 0.0000
Rh: 0.0000 0.5000 0.5000
Rh: 0.5000 0.0000 0.5000

Output
formation energy from the elements = 671 meV per atom

=====

[14]
Density functional theory data (SCAN) for KCd3Rh at its PBEsol-relaxed geometry.

Cell: 7.2443 7.2443 7.2443 Å, 121.59 90.25 118.16°
Fractional positions:
K: 0.3379 0.0879 0.2500
K: 0.6621 0.9121 0.7500
Cd: 0.1837 0.4337 0.7500
Cd: 0.2125 0.0000 0.7125
Cd: 0.2125 0.5000 0.2125
Cd: 0.7875 0.0000 0.2875
Cd: 0.7875 0.5000 0.7875
Cd: 0.8163 0.5663 0.2500
Rh: 0.0000 0.5000 0.5000
Rh: 0.5000 0.5000 0.0000

Output
energy relative to the lowest polymorph listed for this composition = 0.0 kJ/mol of atoms
formation energy from the elements = -127 meV per atom

=====

[15]
Density functional theory data (SCAN) for KCd3Rh at its PBEsol-relaxed geometry.

Cell: 5.1597 5.1597 5.1597 Å, 90.00 90.00 90.00°
Fractional positions:
K: 0.0000 0.0000 0.0000
Cd: 0.0000 0.5000 0.5000
Cd: 0.5000 0.0000 0.5000
Cd: 0.5000 0.5000 0.0000
Rh: 0.5000 0.5000 0.5000

Output
energy relative to the lowest polymorph listed for this composition = 1.3 kJ/mol of atoms
formation energy from the elements = -113 meV per atom

=====

[16]
Density functional theory data (SCAN) for KCdRh2 at its PBEsol-relaxed geometry.

Cell: 6.0824 6.0824 6.0824 Å, 153.52 130.23 57.25°
Fractional positions:
K: 0.0000 0.0000 0.0000
Cd: 0.7053 0.2053 0.5000
Rh: 0.2781 0.7781 0.5000
Rh: 0.4733 0.4733 0.0000

Output
formation energy from the elements = 413 meV per atom

=====

[17]
Density functional theory data (SCAN) for KCdRh2 at its PBEsol-relaxed geometry.

Cell: 2.8210 2.8210 9.1227 Å, 90.00 90.00 90.00°
Fractional positions:
K: 0.0000 0.0000 0.0000
Cd: 0.0000 0.0000 0.5000
Rh: 0.5000 0.5000 0.2839
Rh: 0.5000 0.5000 0.7161

Output
formation energy from the elements = 446 meV per atom

=====

[18]
Density functional theory data (SCAN) for KCdRh2 at its PBEsol-relaxed geometry.

Cell: 4.6594 4.6594 4.6594 Å, 119.69 119.69 90.55°
Fractional positions:
K: 0.0000 0.0000 0.0000
Cd: 0.2500 0.7500 0.5000
Rh: 0.5000 0.5000 0.0000
Rh: 0.7500 0.2500 0.5000

Output
formation energy from the elements = 653 meV per atom

=====

[19]
Density functional theory data (SCAN) for KScCdRh2 at its PBEsol-relaxed geometry.

Cell: 4.9556 4.9556 5.0079 Å, 90.00 90.00 90.00°
Fractional positions:
K: 0.0000 0.0000 0.0000
Sc: 0.5000 0.5000 0.0000
Cd: 0.0000 0.0000 0.5000
Rh: 0.0000 0.5000 0.5000
Rh: 0.5000 0.0000 0.5000

Output
formation energy from the elements = 1042 meV per atom

=====

[20]
Density functional theory data (SCAN) for KCdRu2 at its PBEsol-relaxed geometry.

Cell: 2.7801 3.6188 8.1707 Å, 90.00 90.12 90.00°
Fractional positions:
K: 0.0000 0.0000 0.0000
Cd: 0.5011 0.5000 0.6581
Ru: 0.4986 0.5000 0.3097
Ru: 0.9994 0.0000 0.4366

Output
formation energy from the elements = 422 meV per atom

=====

[21]
Density functional theory data (SCAN) for KCdRu2 at its PBEsol-relaxed geometry.

Cell: 10.4224 10.4224 10.4224 Å, 15.36 15.36 15.36°
Fractional positions:
K: 0.0000 0.0000 0.0000
Cd: 0.5000 0.5000 0.5000
Ru: 0.2420 0.2420 0.2420
Ru: 0.7580 0.7580 0.7580

Output
formation energy from the elements = 854 meV per atom

=====

[22]
Density functional theory data (SCAN) for KCd2Ru at its PBEsol-relaxed geometry.

Cell: 8.1599 8.1599 4.6340 Å, 106.43 106.43 20.27°
Fractional positions:
K: 0.0000 0.0000 0.0000
Cd: 0.6587 0.6587 0.6572
Cd: 0.8138 0.8138 0.3124
Ru: 0.3071 0.3071 0.8057

Output
formation energy from the elements = 386 meV per atom

=====

[23]
Density functional theory data (SCAN) for K2CdRu at its PBEsol-relaxed geometry.

Cell: 11.9030 11.9030 11.9030 Å, 14.52 14.52 14.52°
Fractional positions:
K: 0.2416 0.2416 0.2416
K: 0.7584 0.7584 0.7584
Cd: 0.0000 0.0000 0.0000
Ru: 0.5000 0.5000 0.5000

Output
formation energy from the elements = 876 meV per atom

=====

[24]
Density functional theory data (SCAN) for KCdRu2 at its PBEsol-relaxed geometry.

Cell: 5.1423 5.1423 6.1924 Å, 96.64 96.64 31.16°
Fractional positions:
K: 0.0000 0.0000 0.0000
Cd: 0.5000 0.5000 0.5000
Ru: 0.2343 0.2343 0.6590
Ru: 0.7657 0.7657 0.3410

Output
formation energy from the elements = 830 meV per atom

=====

[25]
Density functional theory data (SCAN) for K2CdRu at its PBEsol-relaxed geometry.

Cell: 2.8696 5.4841 5.9280 Å, 90.00 90.08 90.00°
Fractional positions:
K: 0.0048 0.0000 0.2403
K: 0.9952 0.0000 0.7597
Cd: 0.5000 0.5000 0.5000
Ru: 0.5000 0.5000 0.0000

Output
formation energy from the elements = 882 meV per atom

=====

[26]
Density functional theory data (SCAN) for KCdS3 at its PBEsol-relaxed geometry.

Cell: 5.3779 5.3779 5.3779 Å, 90.00 90.00 90.00°
Fractional positions:
K: 0.0000 0.0000 0.0000
Cd: 0.5000 0.5000 0.5000
S: 0.0000 0.0000 0.5000
S: 0.0000 0.5000 0.0000
S: 0.5000 0.0000 0.0000

Output
raw formation energy = 494 kJ/mol of formula units

=====

[27]
Density functional theory data (SCAN) for K2Cd2S at its PBEsol-relaxed geometry.

Cell: 6.1549 6.1549 6.1549 Å, 114.17 114.17 100.44°
Fractional positions:
K: 0.2500 0.7500 0.5000
K: 0.7500 0.2500 0.5000
Cd: 0.1749 0.1749 0.0000
Cd: 0.8251 0.8251 0.0000
S: 0.5000 0.5000 0.0000

Output
raw formation energy = -86 kJ/mol of formula units

=====

[28]
Density functional theory data (SCAN) for K2CdSnS4 at its PBEsol-relaxed geometry.

Cell: 7.7323 7.7323 14.8589 Å, 95.02 95.02 89.68°
Fractional positions:
K: 0.1508 0.8172 0.6163
K: 0.1828 0.8492 0.8837
K: 0.1852 0.3650 0.8783
K: 0.3650 0.1852 0.3783
K: 0.6350 0.8148 0.6217
K: 0.8148 0.6350 0.1217
K: 0.8172 0.1508 0.1163
K: 0.8492 0.1828 0.3837
Cd: 0.3220 0.4033 0.1622
Cd: 0.4033 0.3220 0.6622
Cd: 0.5967 0.6780 0.3378
Cd: 0.6780 0.5967 0.8378
Sn: 0.1020 0.6980 0.3552
Sn: 0.3020 0.8980 0.1448
Sn: 0.6980 0.1020 0.8552
Sn: 0.8980 0.3020 0.6448
S: 0.0709 0.9291 0.2500
S: 0.0778 0.4215 0.2722
S: 0.1348 0.2287 0.5561
S: 0.2287 0.1348 0.0561
S: 0.2371 0.6329 0.0543
S: 0.3671 0.7629 0.4457
S: 0.3957 0.6043 0.7500
S: 0.4215 0.0778 0.7722
S: 0.5785 0.9222 0.2278
S: 0.6043 0.3957 0.2500
S: 0.6329 0.2371 0.5543
S: 0.7629 0.3671 0.9457
S: 0.7713 0.8652 0.9439
S: 0.8652 0.7713 0.4439
S: 0.9222 0.5785 0.7278
S: 0.9291 0.0709 0.7500

Output
raw formation energy = -770 kJ/mol of formula units